<a>
This record from Alexandria describes a geometry-optimized HoInIrRh structure. The functional is PBE-GGA.

- Density of states at the Fermi level: 0.23 states/eV/atom
- Theoretical density: 13.13 g cm⁻³

Cell: 3.5884 4.4934 4.5104 Å, 90.00 90.00 90.00°
With the nearest neighbours (Å) after each atom.
Positions (direct):
Ho1 0.0000 0.0000 0.0000  4 Ir 2.88, 4 Rh 2.88, 4 In 3.18
In1 0.0000 0.5000 0.5000  4 Rh 2.88, 4 Ir 2.88, 4 Ho 3.18
Ir1 0.5000 0.5000 0.0000  4 Ho 2.88, 4 In 2.88, 4 Rh 3.18
Rh1 0.5000 0.0000 0.5000  4 In 2.88, 4 Ho 2.88, 4 Ir 3.18

<b>
This record from Alexandria describes a geometry-optimized HoInIrRh structure. The functional is PBE-GGA.

- Density of states at the Fermi level: 0.24 states/eV/atom
- Theoretical density: 13.04 g cm⁻³

Cell: 4.6952 4.6952 4.6952 Å, 60.00 60.00 60.00°
With the nearest neighbours (Å) after each atom.
Positions (direct):
Ho1 0.0000 0.0000 0.0000  4 Ir 2.88, 4 Rh 2.88
In1 0.5000 0.5000 0.5000  4 Ir 2.88, 4 Rh 2.88
Ir1 0.7500 0.7500 0.7500  4 In 2.88, 4 Ho 2.88
Rh1 0.2500 0.2500 0.2500  4 In 2.88, 4 Ho 2.88

The most stable of them is <a>.

<a>
This record from Alexandria describes a geometry-optimized La2HoIn structure. The functional is PBE-GGA.

- Density of states at the Fermi level: 1.85 states/eV/atom
- Theoretical density: 7.28 g cm⁻³

Cell: 5.6456 5.6456 5.6456 Å, 60.00 60.00 60.00°
With the nearest neighbours (Å) after each atom.
Positions (direct):
La1 0.2500 0.2500 0.2500  4 In 3.46, 4 Ho 3.46
La2 0.7500 0.7500 0.7500  4 In 3.46, 4 Ho 3.46
Ho1 0.0000 0.0000 0.0000  8 La 3.46
In1 0.5000 0.5000 0.5000  8 La 3.46

<b>
This record from Alexandria describes a geometry-optimized La2HoIn structure. The functional is PBE-GGA.

- Density of states at the Fermi level: 1.60 states/eV/atom
- Theoretical density: 6.95 g cm⁻³

Cell: 11.4542 11.4542 11.4542 Å, 18.58 18.58 18.58°
With the nearest neighbours (Å) after each atom.
Positions (direct):
La1 0.0000 0.0000 0.0000  3 In 3.44, 3 Ho 3.63, 6 La 3.70
La2 0.1735 0.1735 0.1735  3 In 3.44, 3 Ho 3.62, 6 La 3.70
Ho1 0.4203 0.4203 0.4203  6 La 3.62-3.63, 6 Ho 3.70
In1 0.5867 0.5867 0.5867  6 La 3.44, 6 In 3.70

<c>
This record from Alexandria describes a geometry-optimized La2HoIn structure. The functional is PBE-GGA.

- Density of states at the Fermi level: 1.59 states/eV/atom
- Theoretical density: 7.46 g cm⁻³

Cell: 6.1890 6.1890 6.1890 Å, 133.27 132.90 68.52°
With the nearest neighbours (Å) after each atom.
Positions (direct):
La1 0.0000 0.0000 0.0000  4 In 3.48, 4 La 3.53-3.57, 4 Ho 3.55
La2 0.7466 0.2466 0.5000  4 Ho 3.48, 4 La 3.53-3.57, 4 In 3.54-3.56
Ho1 0.2513 0.7513 0.5000  8 La 3.48-3.55, 4 In 3.52-3.59
In1 0.4974 0.4974 0.0000  8 La 3.48-3.56, 4 Ho 3.52-3.59

The most stable of them is <c>.

<a>
This record from Alexandria describes a geometry-optimized La2HoIn structure. The functional is PBE-GGA.

- Density of states at the Fermi level: 0.91 states/eV/atom
- Theoretical density: 7.53 g cm⁻³

Cell: 5.7671 6.8878 6.1928 Å, 90.00 90.00 90.00°
With the nearest neighbours (Å) after each atom.
Positions (direct):
La1 0.2500 0.0050 0.1363  4 La 3.34-3.51, 4 Ho 3.46-3.69, 4 In 3.49-3.63
La2 0.2500 0.4950 0.1363  4 La 3.34-3.51, 4 Ho 3.46-3.69, 4 In 3.49-3.63
La3 0.7500 0.5050 0.8637  4 La 3.34-3.51, 4 Ho 3.46-3.69, 4 In 3.49-3.63
La4 0.7500 0.9950 0.8637  4 La 3.34-3.51, 4 Ho 3.46-3.69, 4 In 3.49-3.63
Ho1 0.2500 0.2500 0.6239  4 In 3.35-3.45, 8 La 3.46-3.69
Ho2 0.7500 0.7500 0.3761  4 In 3.35-3.45, 8 La 3.46-3.69
In1 0.2500 0.7500 0.6501  4 Ho 3.35-3.45, 8 La 3.49-3.63
In2 0.7500 0.2500 0.3499  4 Ho 3.35-3.45, 8 La 3.49-3.63

<b>
This record from Alexandria describes a geometry-optimized La2HoIn structure. The functional is PBE-GGA.

- Density of states at the Fermi level: 1.54 states/eV/atom
- Theoretical density: 7.46 g cm⁻³

Cell: 4.9187 4.9187 5.1285 Å, 90.00 90.00 90.00°
With the nearest neighbours (Å) after each atom.
Positions (direct):
La1 0.0000 0.5000 0.0000  4 La 3.48, 4 In 3.55, 4 Ho 3.55
La2 0.5000 0.0000 0.0000  4 La 3.48, 4 In 3.55, 4 Ho 3.55
Ho1 0.0000 0.0000 0.5000  4 In 3.48, 8 La 3.55
In1 0.5000 0.5000 0.5000  4 Ho 3.48, 8 La 3.55

<c>
This record from Alexandria describes a geometry-optimized La2HoIn structure. The functional is PBE-GGA.

- Density of states at the Fermi level: 1.65 states/eV/atom
- Theoretical density: 7.03 g cm⁻³

Cell: 3.7395 3.7395 9.4144 Å, 90.00 90.00 90.00°
With the nearest neighbours (Å) after each atom.
Positions (direct):
La1 0.0000 0.0000 0.2295  4 In 3.41, 4 Ho 3.67, 4 La 3.74
La2 0.0000 0.0000 0.7705  4 In 3.41, 4 Ho 3.67, 4 La 3.74
Ho1 0.5000 0.5000 0.5000  8 La 3.67, 4 Ho 3.74
In1 0.5000 0.5000 0.0000  8 La 3.41, 4 In 3.74

The most stable of them is <b>.

<a>
This record from Alexandria describes a geometry-optimized La8HoIn2 structure. The functional is PBE-GGA.

- Density of states at the Fermi level: 1.49 states/eV/atom
- Theoretical density: 6.57 g cm⁻³

Cell: 9.4626 9.4626 9.4626 Å, 147.46 122.18 67.94°
With the nearest neighbours (Å) after each atom.
Positions (direct):
La1 0.1245 0.3411 0.7834  3 In 3.36-3.44, 1 Ho 3.60, 5 La 3.61-3.71
La2 0.1491 0.1491 0.0000  2 Ho 3.54, 2 In 3.58, 8 La 3.61-3.82
La3 0.3294 0.0000 0.3294  1 La 3.12, 2 In 3.47
La4 0.4423 0.6589 0.7834  3 In 3.36-3.44, 1 Ho 3.60, 5 La 3.61-3.71
La5 0.5577 0.3411 0.2166  3 In 3.36-3.44, 1 Ho 3.60, 5 La 3.61-3.71
La6 0.6706 0.0000 0.6706  1 La 3.12, 2 In 3.47
La7 0.8509 0.8509 0.0000  2 Ho 3.54, 2 In 3.58, 8 La 3.61-3.82
La8 0.8755 0.6589 0.2166  3 In 3.36-3.44, 1 Ho 3.60, 5 La 3.61-3.71
Ho1 0.0000 0.5000 0.5000  8 La 3.54-3.60
In1 0.3026 0.8026 0.5000  10 La 3.36-3.58
In2 0.6974 0.1974 0.5000  10 La 3.36-3.58

<b>
This record from Alexandria describes a geometry-optimized La8HoIn2 structure. The functional is PBE-GGA.

- Density of states at the Fermi level: 1.27 states/eV/atom
- Theoretical density: 6.37 g cm⁻³

Cell: 8.8618 8.8618 5.8230 Å, 99.13 99.13 60.90°
With the nearest neighbours (Å) after each atom.
Positions (direct):
La1 0.0227 0.6617 0.2340  1 In 3.21, 4 La 3.24-3.59
La2 0.0529 0.0529 0.2604  4 La 3.16-3.48, 1 In 3.20
La3 0.3383 0.9773 0.7660  1 In 3.21, 4 La 3.24-3.59
La4 0.3858 0.3858 0.9023  1 Ho 3.17, 2 In 3.42-3.43, 1 La 3.47
La5 0.6142 0.6142 0.0977  1 Ho 3.17, 2 In 3.42-3.43, 1 La 3.47
La6 0.6617 0.0227 0.2340  1 In 3.21, 4 La 3.24-3.59
La7 0.9471 0.9471 0.7396  4 La 3.16-3.48, 1 In 3.20
La8 0.9773 0.3383 0.7660  1 In 3.21, 4 La 3.24-3.59
Ho1 0.5000 0.5000 0.5000  2 La 3.17, 2 In 3.53
In1 0.2656 0.2656 0.3432  5 La 3.20-3.43, 1 Ho 3.53
In2 0.7344 0.7344 0.6568  5 La 3.20-3.43, 1 Ho 3.53

The most stable of them is <a>.

<a>
This record from Alexandria describes a geometry-optimized LaHo3In3 structure. The functional is PBE-GGA.

- Density of states at the Fermi level: 0.93 states/eV/atom
- Theoretical density: 7.88 g cm⁻³

Cell: 9.3781 9.3781 9.3781 Å, 90.00 90.00 90.00°
With the nearest neighbours (Å) after each atom.
Positions (direct):
La1 0.0470 0.4530 0.5470  6 In 3.36-3.64, 4 Ho 3.49-3.56
La2 0.4530 0.5470 0.0470  6 In 3.36-3.64, 4 Ho 3.49-3.56
La3 0.5470 0.0470 0.4530  6 In 3.36-3.64, 4 Ho 3.49-3.56
La4 0.9530 0.9530 0.9530  6 In 3.36-3.64, 4 Ho 3.49-3.56
Ho1 0.1206 0.6206 0.8794  6 In 3.19-3.34, 1 Ho 3.44, 3 La 3.56
Ho2 0.1678 0.1678 0.1678  6 In 3.15-3.24, 1 Ho 3.44, 1 La 3.49
Ho3 0.2009 0.7991 0.2991  6 In 3.17-3.35
Ho4 0.2991 0.2009 0.7991  6 In 3.17-3.35
Ho5 0.3322 0.8322 0.6678  6 In 3.15-3.24, 1 Ho 3.44, 1 La 3.49
Ho6 0.3794 0.3794 0.3794  6 In 3.19-3.34, 1 Ho 3.44, 3 La 3.56
Ho7 0.6206 0.8794 0.1206  6 In 3.19-3.34, 1 Ho 3.44, 3 La 3.56
Ho8 0.6678 0.3322 0.8322  6 In 3.15-3.24, 1 Ho 3.44, 1 La 3.49
Ho9 0.7009 0.7009 0.7009  6 In 3.17-3.35
Ho10 0.7991 0.2991 0.2009  6 In 3.17-3.35
Ho11 0.8322 0.6678 0.3322  6 In 3.15-3.24, 1 Ho 3.44, 1 La 3.49
Ho12 0.8794 0.1206 0.6206  6 In 3.19-3.34, 1 Ho 3.44, 3 La 3.56
In1 0.0053 0.8051 0.5974  6 Ho 3.15-3.35, 1 La 3.36, 2 In 3.41
In2 0.0974 0.4947 0.1949  6 Ho 3.15-3.35, 1 La 3.36, 2 In 3.41
In3 0.1949 0.0974 0.4947  6 Ho 3.15-3.35, 1 La 3.36, 2 In 3.41
In4 0.3051 0.9026 0.9947  6 Ho 3.15-3.35, 1 La 3.36, 2 In 3.41
In5 0.4026 0.5053 0.6949  6 Ho 3.15-3.35, 1 La 3.36, 2 In 3.41
In6 0.4947 0.1949 0.0974  6 Ho 3.15-3.35, 1 La 3.36, 2 In 3.41
In7 0.5053 0.6949 0.4026  6 Ho 3.15-3.35, 1 La 3.36, 2 In 3.41
In8 0.5974 0.0053 0.8051  6 Ho 3.15-3.35, 1 La 3.36, 2 In 3.41
In9 0.6949 0.4026 0.5053  6 Ho 3.15-3.35, 1 La 3.36, 2 In 3.41
In10 0.8051 0.5974 0.0053  6 Ho 3.15-3.35, 1 La 3.36, 2 In 3.41
In11 0.9026 0.9947 0.3051  6 Ho 3.15-3.35, 1 La 3.36, 2 In 3.41
In12 0.9947 0.3051 0.9026  6 Ho 3.15-3.35, 1 La 3.36, 2 In 3.41

<b>
This record from Alexandria describes a geometry-optimized LaHo3In3 structure. The functional is PBE-GGA.

- Density of states at the Fermi level: 0.93 states/eV/atom
- Theoretical density: 8.03 g cm⁻³

Cell: 9.4759 9.4759 5.2005 Å, 90.00 90.00 120.00°
With the nearest neighbours (Å) after each atom.
Positions (direct):
La1 0.3333 0.6667 0.2500  9 In 3.40-3.48, 3 Ho 3.75
La2 0.6667 0.3333 0.7500  9 In 3.40-3.48, 3 Ho 3.75
Ho1 0.0015 0.2312 0.7500  4 In 3.13-3.40, 4 Ho 3.40
Ho2 0.2297 0.9985 0.7500  4 In 3.13-3.40, 4 Ho 3.40
Ho3 0.2312 0.2297 0.2500  4 In 3.13-3.40, 4 Ho 3.40
Ho4 0.7688 0.7703 0.7500  4 In 3.13-3.40, 4 Ho 3.40
Ho5 0.7703 0.0015 0.2500  4 In 3.13-3.40, 4 Ho 3.40
Ho6 0.9985 0.7688 0.2500  4 In 3.13-3.40, 4 Ho 3.40
In1 0.0695 0.6190 0.7500  4 Ho 3.13-3.40, 2 In 3.26, 3 La 3.40-3.48
In2 0.3810 0.4505 0.7500  4 Ho 3.13-3.40, 2 In 3.26, 3 La 3.40-3.48
In3 0.4505 0.0695 0.2500  4 Ho 3.13-3.40, 2 In 3.26, 3 La 3.40-3.48
In4 0.5495 0.9305 0.7500  4 Ho 3.13-3.40, 2 In 3.26, 3 La 3.40-3.48
In5 0.6190 0.5495 0.2500  4 Ho 3.13-3.40, 2 In 3.26, 3 La 3.40-3.48
In6 0.9305 0.3810 0.2500  4 Ho 3.13-3.40, 2 In 3.26, 3 La 3.40-3.48

The most stable of them is <b>.

<a>
This record from Alexandria describes a geometry-optimized LaHo2In structure. The functional is PBE-GGA.

- Density of states at the Fermi level: 1.50 states/eV/atom
- Theoretical density: 8.09 g cm⁻³

Cell: 5.5329 5.5329 5.5329 Å, 60.00 60.00 60.00°
With the nearest neighbours (Å) after each atom.
Positions (direct):
La1 0.0000 0.0000 0.0000  4 In 3.39, 4 Ho 3.39
Ho1 0.5000 0.5000 0.5000  4 In 3.39, 4 Ho 3.39
Ho2 0.7500 0.7500 0.7500  4 La 3.39, 4 Ho 3.39
In1 0.2500 0.2500 0.2500  4 La 3.39, 4 Ho 3.39

<b>
This record from Alexandria describes a geometry-optimized LaHo2In structure. The functional is PBE-GGA.

- Density of states at the Fermi level: 1.57 states/eV/atom
- Theoretical density: 8.16 g cm⁻³

Cell: 4.9433 4.9433 4.8575 Å, 90.00 90.00 90.00°
With the nearest neighbours (Å) after each atom.
Positions (direct):
La1 0.0000 0.0000 0.0000  8 Ho 3.47, 4 In 3.50
Ho1 0.0000 0.5000 0.5000  4 In 3.47, 4 La 3.47, 4 Ho 3.50
Ho2 0.5000 0.0000 0.5000  4 In 3.47, 4 La 3.47, 4 Ho 3.50
In1 0.5000 0.5000 0.0000  8 Ho 3.47, 4 La 3.50

The most stable of them is <b>.

<a>
This record from Alexandria describes a geometry-optimized LaHo2In structure. The functional is PBE-GGA.

- Density of states at the Fermi level: 1.85 states/eV/atom
- Theoretical density: 8.34 g cm⁻³

Cell: 5.4772 5.4772 5.4772 Å, 60.00 60.00 60.00°
With the nearest neighbours (Å) after each atom.
Positions (direct):
La1 0.0000 0.0000 0.0000  8 Ho 3.35
Ho1 0.2500 0.2500 0.2500  4 La 3.35, 4 In 3.35
Ho2 0.7500 0.7500 0.7500  4 In 3.35, 4 La 3.35
In1 0.5000 0.5000 0.5000  8 Ho 3.35

<b>
This record from Alexandria describes a geometry-optimized LaHo2In structure. The functional is PBE-GGA.

- Density of states at the Fermi level: 1.05 states/eV/atom
- Theoretical density: 7.99 g cm⁻³

Cell: 3.6239 3.6239 9.2306 Å, 90.00 90.00 90.00°
With the nearest neighbours (Å) after each atom.
Positions (direct):
La1 0.0000 0.0000 0.0000  4 La 3.62, 8 Ho 3.65
Ho1 0.5000 0.5000 0.2809  4 In 3.26, 4 Ho 3.62, 4 La 3.65
Ho2 0.5000 0.5000 0.7191  4 In 3.26, 4 Ho 3.62, 4 La 3.65
In1 0.0000 0.0000 0.5000  8 Ho 3.26, 4 In 3.62

<c>
This record from Alexandria describes a geometry-optimized LaHo2In structure. The functional is PBE-GGA.

- Density of states at the Fermi level: 1.66 states/eV/atom
- Theoretical density: 7.74 g cm⁻³

Cell: 12.0430 12.0430 12.0430 Å, 16.66 16.66 16.66°
With the nearest neighbours (Å) after each atom.
Positions (direct):
La1 0.0000 0.0000 0.0000  2 Ho 3.43, 6 La 3.49
Ho1 0.0962 0.0962 0.0962  3 In 3.22, 1 La 3.43, 6 Ho 3.49
Ho2 0.9038 0.9038 0.9038  3 In 3.22, 1 La 3.43, 6 Ho 3.49
In1 0.5000 0.5000 0.5000  6 Ho 3.22, 6 In 3.49

The most stable of them is <b>.

<a>
This record from Alexandria describes a geometry-optimized LaHo3In structure. The functional is PBE-GGA.

- Density of states at the Fermi level: 1.44 states/eV/atom
- Theoretical density: 8.21 g cm⁻³

Cell: 12.8865 12.8865 4.8598 Å, 90.00 90.00 157.96°
With the nearest neighbours (Å) after each atom.
Positions (direct):
La1 0.1462 0.8538 0.7500  8 Ho 3.44-3.60, 4 In 3.47
La2 0.8538 0.1462 0.2500  8 Ho 3.44-3.60, 4 In 3.47
Ho1 0.0455 0.9545 0.2500  8 Ho 3.35-3.47, 2 La 3.52, 2 In 3.70
Ho2 0.2510 0.7490 0.2500  4 In 3.40-3.46, 4 Ho 3.46, 4 La 3.58-3.60
Ho3 0.4488 0.5512 0.2500  2 La 3.44, 8 Ho 3.46-3.55, 2 In 3.58
Ho4 0.5512 0.4488 0.7500  2 La 3.44, 8 Ho 3.46-3.55, 2 In 3.58
Ho5 0.7490 0.2510 0.7500  4 In 3.40-3.46, 4 Ho 3.46, 4 La 3.58-3.60
Ho6 0.9545 0.0455 0.7500  8 Ho 3.35-3.47, 2 La 3.52, 2 In 3.70
In1 0.3451 0.6549 0.7500  8 Ho 3.40-3.70, 4 La 3.47
In2 0.6549 0.3451 0.2500  8 Ho 3.40-3.70, 4 La 3.47

<b>
This record from Alexandria describes a geometry-optimized LaHo3In structure. The functional is PBE-GGA.

- Density of states at the Fermi level: 1.33 states/eV/atom
- Theoretical density: 8.14 g cm⁻³

Cell: 9.9068 9.9068 6.4603 Å, 100.55 100.55 83.60°
With the nearest neighbours (Å) after each atom.
Positions (direct):
La1 0.0388 0.1687 0.4888  8 Ho 3.39-3.76, 4 La 3.55-3.78
La2 0.1687 0.0388 0.9888  8 Ho 3.39-3.76, 4 La 3.55-3.78
La3 0.8313 0.9612 0.0112  8 Ho 3.39-3.76, 4 La 3.55-3.78
La4 0.9612 0.8313 0.5112  8 Ho 3.39-3.76, 4 La 3.55-3.78
Ho1 0.1000 0.7026 0.0040  2 In 3.23-3.35, 3 Ho 3.30-3.50, 2 La 3.48-3.50
Ho2 0.1274 0.5028 0.3694  2 In 3.25-3.27, 6 Ho 3.29-3.63, 1 La 3.52
Ho3 0.2373 0.3771 0.8724  2 In 3.28, 4 Ho 3.38-3.63, 1 La 3.39
Ho4 0.2974 0.9000 0.4960  2 In 3.23-3.35, 3 Ho 3.30-3.50, 2 La 3.48-3.50
Ho5 0.3771 0.2373 0.3724  2 In 3.28, 4 Ho 3.38-3.63, 1 La 3.39
Ho6 0.4972 0.8726 0.1306  2 In 3.25-3.27, 6 Ho 3.29-3.63, 1 La 3.52
Ho7 0.5028 0.1274 0.8694  2 In 3.25-3.27, 6 Ho 3.29-3.63, 1 La 3.52
Ho8 0.6229 0.7627 0.6276  2 In 3.28, 4 Ho 3.38-3.63, 1 La 3.39
Ho9 0.7026 0.1000 0.5040  2 In 3.23-3.35, 3 Ho 3.30-3.50, 2 La 3.48-3.50
Ho10 0.7627 0.6229 0.1276  2 In 3.28, 4 Ho 3.38-3.63, 1 La 3.39
Ho11 0.8726 0.4972 0.6306  2 In 3.25-3.27, 6 Ho 3.29-3.63, 1 La 3.52
Ho12 0.9000 0.2974 0.9960  2 In 3.23-3.35, 3 Ho 3.30-3.50, 2 La 3.48-3.50
In1 0.3588 0.6412 0.7500  3 In 3.07-3.30, 6 Ho 3.23-3.28
In2 0.4085 0.5915 0.2500  3 In 3.07-3.30, 6 Ho 3.27-3.35
In3 0.5915 0.4085 0.7500  3 In 3.07-3.30, 6 Ho 3.27-3.35
In4 0.6412 0.3588 0.2500  3 In 3.07-3.30, 6 Ho 3.23-3.28

The most stable of them is <a>.